Material: Zr2CuAg2
Method: DFT, PBE
State: optimized geometry

POSCAR file:
```
Zr2CuAg2
1.0
6.691 0.000 0.000
0.000 6.691 0.000
0.000 0.000 4.409
Cu Zr Ag
2 4 4
Cartesian
0.000 0.000 0.000
3.345 3.345 0.000
1.134 4.480 2.205
4.480 5.557 2.205
5.557 2.211 2.205
2.211 1.134 2.205
2.402 5.748 0.000
5.748 4.288 0.000
4.288 0.943 0.000
0.943 2.402 0.000
```

Properties
Raw total energy in eV per atom: -5.2069
Volume in Å³/atom: 19.74
Space-group type: P4/mbm (127)

Material: ZrCuAg2
Method: DFT, PBE
State: optimized geometry

POSCAR file:
```
ZrCuAg2
1.0
2.981 0.000 0.000
0.000 3.398 0.000
0.000 0.000 7.025
Cu Zr Ag
1 1 2
Cartesian
0.000 0.000 3.416
1.490 1.699 5.089
0.000 0.000 0.113
1.490 1.699 1.919
```

Properties
Relative energy among the computed polymorphs in eV per formula unit: 0.00
Volume in Å³/atom: 17.78
Space-group type: Pmm2 (25)

Number 1: M_tot 0.000 μB/f.u.. Number 2: M_tot 0.000 μB/f.u..